1.
Compound: BaCaCl
Source: Alexandria
Functional: PBE
Structure: optimized geometry

Output
- Symmetry: No. 12
- ΔE to the lowest computed polymorph: 54 meV per atom
- Final energy: -3.033 eV per atom
- Raw formation energy: -3.33 eV/f.u.

Structure (POSCAR):
```
BaCaCl
1.0
8.288 -2.071 0.000
8.288 2.071 0.000
-0.045 0.000 6.635
Ba Ca Cl
2 2 2
Direct
0.156 0.156 0.253 Ba
0.844 0.844 0.747 Ba
0.443 0.443 0.249 Ca
0.557 0.557 0.751 Ca
0.186 0.186 0.754 Cl
0.814 0.814 0.246 Cl
```

***

2.
Compound: Ba2CaCl6
Source: Alexandria
Functional: PBE
Structure: optimized geometry

Output
- Symmetry: No. 136
- Final energy: -4.328 eV per atom
- Raw formation energy: -22.03 eV/f.u.

Structure (POSCAR):
```
Ba2CaCl6
1.0
6.916 0.000 0.000
0.000 6.916 0.000
0.000 0.000 13.822
Ba Ca Cl
4 2 12
Direct
0.000 0.000 0.166 Ba
0.000 0.000 0.834 Ba
0.500 0.500 0.334 Ba
0.500 0.500 0.666 Ba
0.000 0.000 0.500 Ca
0.500 0.500 0.000 Ca
0.186 0.186 0.348 Cl
0.186 0.186 0.652 Cl
0.214 0.214 0.000 Cl
0.286 0.714 0.500 Cl
0.314 0.686 0.152 Cl
0.314 0.686 0.848 Cl
0.686 0.314 0.152 Cl
0.686 0.314 0.848 Cl
0.714 0.286 0.500 Cl
0.786 0.786 0.000 Cl
0.814 0.814 0.348 Cl
0.814 0.814 0.652 Cl
```

***

3.
Compound: BaCa3Cl
Source: Alexandria
Functional: PBE
Structure: optimized geometry

Output
- Symmetry: No. 221
- ΔE to the lowest computed polymorph: 0 meV per atom
- Final energy: -2.453 eV per atom
- Raw formation energy: -2.49 eV/f.u.

Structure (POSCAR):
```
BaCa3Cl
1.0
5.967 0.000 0.000
0.000 5.967 0.000
0.000 0.000 5.967
Ba Ca Cl
1 3 1
Direct
0.000 0.000 0.000 Ba
0.000 0.500 0.500 Ca
0.500 0.000 0.500 Ca
0.500 0.500 0.000 Ca
0.500 0.500 0.500 Cl
```